! Ca2GaCoO (GGA+U, relaxed); values from VASP
! Symmetry: P4/mmm
! Final energy (eV per atom): -4.247
! Magnetic moment (μB per formula unit): 1.9
&SYSTEM
  ibrav = 0, nat = 5, ntyp = 4
/
ATOMIC_SPECIES
Ga 69.72 Ga.upf
Ca 40.08 Ca.upf
Co 58.93 Co.upf
O 16.00 O.upf
CELL_PARAMETERS angstrom
-3.6138 -2.0979 2.7237
2.5776 -1.7082 2.1042
0.0637 3.9101 3.0962
ATOMIC_POSITIONS crystal
Ga 0.5000 0.5000 0.5000
Ca 0.0000 0.0000 0.5000
Ca 0.5000 0.0000 0.0000
Co 0.0000 0.5000 0.0000
O 0.0000 0.0000 0.0000